Here is a relaxed structure of RbTaSi3 from the Alexandria database. Energies are from PBE.

Lattice parameters (Å, degrees): 5.0008 5.0008 5.0008 90.00 90.00 90.00
Last column: nearest neighbours and their distance in Å.
Element x y z (fractional)
Rb  0.0000  0.0000  0.0000  12 Si 3.54
Ta  0.5000  0.5000  0.5000  6 Si 2.50
Si  0.0000  0.5000  0.5000  2 Ta 2.50
Si  0.5000  0.0000  0.5000  2 Ta 2.50
Si  0.5000  0.5000  0.0000  2 Ta 2.50

Total DFT energy (no corrections) = -5.5430 eV per atom
Crystal system = cubic
Space-group type = Pm-3m (221)

Here is a relaxed structure of Rb2TaSi from the Alexandria database. Energies are from PBE.

Lattice parameters (Å, degrees): 10.0266 10.0266 10.0266 93.39 93.39 151.85
Last column: nearest neighbours and their distance in Å.
Element x y z (fractional)
Rb  0.3750  0.1654  0.2904  2 Si 3.54, 2 Ta 3.93
Rb  0.8346  0.1250  0.2096  2 Si 3.54, 2 Ta 3.93
Rb  0.8750  0.0846  0.7096  2 Si 3.54, 2 Ta 3.93
Rb  0.9154  0.6250  0.7904  2 Si 3.54, 2 Ta 3.93
Ta  0.2500  0.7500  0.5000  2 Si 2.44
Ta  0.5000  0.5000  0.0000  2 Si 2.44
Si  0.0000  0.0000  0.0000  2 Ta 2.44
Si  0.7500  0.2500  0.5000  2 Ta 2.44

Total DFT energy (no corrections) = -3.7425 eV per atom
Crystal system = tetragonal
Space-group type = I-42d (122)

Here is a relaxed structure of RbTa2Si from the Alexandria database. Energies are from PBE.

Lattice parameters (Å, degrees): 10.0237 10.0237 10.0237 150.63 150.63 42.01
Last column: nearest neighbours and their distance in Å.
Element x y z (fractional)
Rb  0.3750  0.6250  0.7500  4 Si 3.59, 8 Ta 3.68
Rb  0.6250  0.3750  0.2500  4 Si 3.59, 8 Ta 3.68
Ta  0.0000  0.0000  0.0000  2 Ta 2.54, 2 Si 2.66
Ta  0.0000  0.0000  0.5000  2 Ta 2.54, 2 Si 2.66
Ta  0.0000  0.5000  0.0000  2 Ta 2.54, 2 Si 2.66
Ta  0.5000  0.0000  0.5000  2 Ta 2.54, 2 Si 2.66
Si  0.1250  0.8750  0.2500  4 Ta 2.66
Si  0.8750  0.1250  0.7500  4 Ta 2.66

Total DFT energy (no corrections) = -6.2077 eV per atom
Crystal system = tetragonal
Space-group type = I4_1/amd (141)

no.,total magnetization (Bohr magnetons per cell),formation energy without anion corrections (meV/atom)
1,0.000,275
2,2.342,1060
3,0.000,1316